Record 1
Below is Ag2OsSe at its PBEsol-relaxed geometry, with properties calculated at the meta-GGA SCAN level.

Lattice parameters (Å, degrees): 2.879 4.863 9.614 90.00 90.00 90.00
Space group Cmm2 (No. 35)
Symmetry-distinct sites (fractional):
Ag1 0.000 0.000 0.000 x2
Ag2 0.000 0.500 0.247 x2
Os1 0.000 0.500 0.751 x2
Se1 0.000 0.000 0.543 x2

Output
Magnetization: 0.0 μB per formula unit
Raw total energy: -304.85 eV per cell
ΔE_f (raw): 0.57 eV per atom

Record 2
Below is Zr2InRu at its PBEsol-relaxed geometry, with properties calculated at the meta-GGA SCAN level.

Lattice parameters (Å, degrees): 3.259 3.259 7.218 90.00 90.00 90.00
Space group P4mm (No. 99)
Symmetry-distinct sites (fractional):
Zr1 0.000 0.000 0.000 x1
Zr2 0.500 0.500 0.286 x1
In1 0.000 0.000 0.572 x1
Ru1 0.500 0.500 0.799 x1

Output
Magnetization: 0.0 μB per formula unit
Raw total energy: -131.05 eV per cell
DFT formation energy: -0.361 eV/atom